DFT (PBE) results for Ba2HPd6Au after structural relaxation.

Output
Calculated total energy, eV per atom: -4.568
Density of states at the Fermi level, states/eV per atom: 0.53
Total magnetic moment, μB/cell: 0.00
Space group: C2/m (12)
ρ, Mg/m³: 9.4

```
Ba2HPd6Au
1.0
7.341 -0.004 -1.043
0.001 5.866 -0.008
2.931 2.937 4.139
Ba H Pd Au
2 1 6 1
Cartesian
7.475 2.931 0.928
2.798 5.868 2.160
3.671 2.931 -0.525
3.790 2.936 1.507
5.052 4.434 -0.441
5.225 7.378 3.520
5.049 1.421 -0.432
5.221 4.365 3.530
6.483 5.863 1.581
0.000 0.000 0.000
```

DFT (PBE) results for Ba6HPd2Au after structural relaxation.

Output
Calculated total energy, eV per atom: -3.288
Density of states at the Fermi level, states/eV per atom: 0.56
Total magnetic moment, μB/cell: 0.00
Space group: P1 (1)
ρ, Mg/m³: 5.1

```
Ba6HPd2Au
1.0
7.884 0.004 0.000
3.945 6.827 -0.001
3.942 2.277 7.451
Ba H Pd Au
6 1 2 1
Cartesian
6.510 2.259 1.831
6.585 6.891 1.831
10.558 4.517 1.828
9.090 6.721 5.636
9.164 2.427 5.631
5.406 4.509 5.633
3.940 2.277 0.134
7.886 4.554 3.588
3.943 2.279 7.450
11.826 6.830 3.801
```

DFT (PBE) results for Ba6HPdAu2 after structural relaxation.

Output
Calculated total energy, eV per atom: -3.151
Density of states at the Fermi level, states/eV per atom: 0.72
Total magnetic moment, μB/cell: 0.00
Space group: P2_1/c (14)
ρ, Mg/m³: 5.7

```
Ba6HPdAu2
1.0
-7.673 0.804 -0.651
-0.989 -8.385 1.306
-0.561 1.844 11.414
Ba H Pd Au
12 2 2 4
Cartesian
-3.141 -5.314 1.461
-7.399 -5.178 7.028
-6.083 -0.423 10.609
-1.825 -0.559 5.042
-3.443 -4.677 5.615
-7.690 -4.453 11.168
-5.781 -1.060 6.454
-1.534 -1.284 0.901
-7.250 -3.369 2.951
-4.113 -6.404 9.538
-1.974 -2.369 9.118
-5.110 0.666 2.532
-4.117 1.324 5.382
-0.495 -4.193 0.653
-3.837 0.402 -0.325
-0.775 -3.271 6.360
-1.416 -6.966 3.930
-5.257 -3.299 8.947
-7.808 1.229 8.139
-3.967 -2.438 3.123
```

DFT (PBE) results for Ba2HPtAu after structural relaxation.

Output
Calculated total energy, eV per atom: -3.852
Density of states at the Fermi level, states/eV per atom: 0.36
Polymorph energy (0 for the lowest one), eV per formula unit: 0.47
Total magnetic moment, μB/cell: 0.00
Space group: P4/mmm (123)
ρ, Mg/m³: 8.9

```
Ba2HPtAu
1.0
5.609 0.000 0.000
0.000 5.609 0.000
0.000 0.000 3.949
H Au Ba Pt
1 1 2 1
Cartesian
0.000 0.000 0.000
0.000 0.000 1.974
0.000 2.804 0.000
2.804 0.000 0.000
2.804 2.804 1.974
```